[1]
12
Lattice="4.046 0.000 0.000 0.000 8.115 -0.099 0.000 -2.238 8.214" Properties=species:S:1:pos:R:3 comment="LiInPbS3 PBE relaxed" space_group=P2_1/m volume_a3_per_cell=268.85 m_tot_mub_per_fu=0.0 pbc="T T T"
Li 1.012 -0.575 4.793
Li 3.035 6.452 3.322
In 1.012 5.109 1.267
In 3.035 0.768 6.849
Pb 1.012 1.063 1.820
Pb 3.035 4.814 6.296
S 3.035 6.989 0.977
S 1.012 -1.113 7.139
S 1.012 5.279 3.777
S 3.035 0.598 4.338
S 3.035 3.214 1.192
S 1.012 2.663 6.924

[2]
4
Lattice="5.356 0.000 0.000 2.678 4.638 0.000 2.678 1.546 4.373" Properties=species:S:1:pos:R:3 comment="LiInSbPb PBE relaxed" space_group=F-43m volume_a3_per_cell=108.63 m_tot_mub_per_fu=0.0 pbc="T T T"
Pb 0.000 0.000 0.000
Sb 8.034 4.638 3.280
Li 5.356 3.092 2.186
In 2.678 1.546 1.093

Formation energy without anion corrections list, top to bottom, in meV per atom: -696.3, -57.0